No. 1
Here is Pr6Bi3C after structural relaxation from Alexandria via LeMat-Bulk. Energies are from PBE-GGA.

Results
- E: -5.50 eV/atom
- Formation energy from the elements: -0.544 eV per atom

a = 6.855 Å, b = 8.534 Å, c = 12.767 Å
α = 90.00°, β = 121.16°, γ = 90.00°
Space group P2_1/c (No. 14)
Inequivalent atoms, fractional coordinates:
Pr  0.094  0.043  0.225 [4 per cell]
Pr  0.181  0.722  0.054 [4 per cell]
Pr  0.376  0.153  0.050 [4 per cell]
Bi  0.320  0.108  0.745 [4 per cell]
Bi  0.500  0.000  0.500 [2 per cell]
C  0.000  0.000  0.000 [2 per cell]

No. 2
Here is Tb2TlSn3Te6 after structural relaxation from Alexandria via LeMat-Bulk. Energies are from PBE-GGA.

Results
- E: -4.18 eV/atom
- Formation energy from raw total energies: -745 kJ/mol of formula units

a = 19.744 Å, b = 4.441 Å, c = 9.342 Å
α = 90.00°, β = 103.74°, γ = 90.00°
Space group C2/m (No. 12)
Inequivalent atoms, fractional coordinates:
Tb  0.169  0.000  0.347 [4 per cell]
Tl  0.000  0.500  0.000 [2 per cell]
Sn  0.000  0.500  0.500 [2 per cell]
Sn  0.158  0.000  0.846 [4 per cell]
Te  0.009  0.000  0.269 [4 per cell]
Te  0.168  0.500  0.586 [4 per cell]
Te  0.178  0.500  0.110 [4 per cell]

No. 3
Here is BaY3P after structural relaxation from Alexandria via LeMat-Bulk. Energies are from PBE-GGA.

Results
- E: -4.00 eV/atom
- Formation energy from the elements: 1.346 eV per atom
- Offset from the most stable computed form: 8.60 eV per formula unit

a = 5.590 Å, b = 5.590 Å, c = 5.590 Å
α = 90.00°, β = 90.00°, γ = 90.00°
Space group Pm-3m (No. 221)
Inequivalent atoms, fractional coordinates:
Ba  0.000  0.000  0.000 [1 per cell]
Y  0.000  0.000  0.500 [3 per cell]
P  0.500  0.500  0.500 [1 per cell]

No. 4
Here is Ho2Tm2Hg7 after structural relaxation from Alexandria via LeMat-Bulk. Energies are from PBE-GGA.

Results
- E: -1.90 eV/atom
- Formation energy from the elements: -0.065 eV per atom

a = 8.373 Å, b = 10.476 Å, c = 7.321 Å
α = 90.00°, β = 90.00°, γ = 90.00°
Space group Cmmm (No. 65)
Inequivalent atoms, fractional coordinates:
Ho  0.000  0.203  0.000 [4 per cell]
Tm  0.198  0.500  0.500 [4 per cell]
Hg  0.000  0.000  0.288 [4 per cell]
Hg  0.000  0.500  0.000 [2 per cell]
Hg  0.250  0.250  0.292 [8 per cell]

No. 5
Here is Na6Np2H10S4O25 after structural relaxation from Alexandria via LeMat-Bulk. Energies are from PBE-GGA.

Results
- E: -6.10 eV/atom

a = 7.070 Å, b = 7.847 Å, c = 10.954 Å
α = 91.32°, β = 90.72°, γ = 90.44°
Space group P1 (No. 1)
Inequivalent atoms, fractional coordinates:
Na  0.000  0.000  0.000 [1 per cell]
Na  0.048  0.672  0.446 [1 per cell]
Na  0.252  0.970  0.723 [1 per cell]
Na  0.500  0.981  0.017 [1 per cell]
Na  0.565  0.272  0.541 [1 per cell]
Na  0.768  0.012  0.290 [1 per cell]
Np  0.256  0.356  0.201 [1 per cell]
Np  0.746  0.621  0.818 [1 per cell]
H  0.057  0.286  0.830 [1 per cell]
H  0.105  0.838  0.235 [1 per cell]
H  0.436  0.822  0.265 [1 per cell]
H  0.480  0.262  0.848 [1 per cell]
H  0.556  0.695  0.186 [1 per cell]
H  0.604  0.131  0.777 [1 per cell]
H  0.689  0.589  0.437 [1 per cell]
H  0.771  0.500  0.553 [1 per cell]
H  0.933  0.158  0.753 [1 per cell]
H  0.976  0.706  0.163 [1 per cell]
S  0.249  0.623  0.912 [1 per cell]
S  0.259  0.076  0.405 [1 per cell]
S  0.752  0.360  0.105 [1 per cell]
S  0.761  0.893  0.607 [1 per cell]
O  0.033  0.164  0.817 [1 per cell]
O  0.076  0.547  0.850 [1 per cell]
O  0.091  0.159  0.347 [1 per cell]
O  0.245  0.811  0.908 [1 per cell]
O  0.253  0.889  0.377 [1 per cell]
O  0.256  0.181  0.085 [1 per cell]
O  0.256  0.524  0.322 [1 per cell]
O  0.258  0.569  0.041 [1 per cell]
O  0.271  0.111  0.538 [1 per cell]
O  0.416  0.556  0.844 [1 per cell]
O  0.431  0.156  0.347 [1 per cell]
O  0.490  0.141  0.827 [1 per cell]
O  0.536  0.817  0.203 [1 per cell]
O  0.588  0.429  0.175 [1 per cell]
O  0.592  0.807  0.660 [1 per cell]
O  0.736  0.445  0.700 [1 per cell]
O  0.739  0.412  0.976 [1 per cell]
O  0.751  0.801  0.931 [1 per cell]
O  0.754  0.171  0.109 [1 per cell]
O  0.758  0.078  0.640 [1 per cell]
O  0.767  0.868  0.473 [1 per cell]
O  0.768  0.494  0.462 [1 per cell]
O  0.928  0.433  0.164 [1 per cell]
O  0.932  0.809  0.664 [1 per cell]
O  0.988  0.827  0.187 [1 per cell]

No. 6
Here is CsSeSCl2 after structural relaxation from Alexandria via LeMat-Bulk. Energies are from PBE-GGA.

Results
- E: -3.05 eV/atom
- Formation energy from raw total energies: -296 kJ/mol of formula units
- Offset from the most stable computed form: 0.00 eV per formula unit

a = 5.441 Å, b = 5.441 Å, c = 4.874 Å
α = 90.00°, β = 90.00°, γ = 90.00°
Space group P4/mmm (No. 123)
Inequivalent atoms, fractional coordinates:
Cs  0.000  0.000  0.000 [1 per cell]
Se  0.500  0.500  0.500 [1 per cell]
S  0.500  0.500  0.000 [1 per cell]
Cl  0.000  0.500  0.500 [2 per cell]

No. 7
Here is FeMo2PbCl after structural relaxation from Alexandria via LeMat-Bulk. Energies are from PBE-GGA.

Results
- E: -4.86 eV/atom
- Formation energy from raw total energies: 1099 kJ/mol of formula units

a = 5.421 Å, b = 5.421 Å, c = 5.405 Å
α = 90.00°, β = 90.00°, γ = 90.00°
Space group P4/mmm (No. 123)
Inequivalent atoms, fractional coordinates:
Fe  0.000  0.000  0.000 [1 per cell]
Mo  0.000  0.500  0.500 [2 per cell]
Pb  0.500  0.500  0.500 [1 per cell]
Cl  0.500  0.500  0.000 [1 per cell]

No. 8
Here is GaCI2N after structural relaxation from Alexandria via LeMat-Bulk. Energies are from PBE-GGA.

Results
- E: -2.89 eV/atom
- Formation energy from raw total energies: 890 kJ/mol of formula units
- Offset from the most stable computed form: 4.73 eV per formula unit

a = 5.914 Å, b = 5.914 Å, c = 3.540 Å
α = 90.00°, β = 90.00°, γ = 90.00°
Space group P4/mmm (No. 123)
Inequivalent atoms, fractional coordinates:
Ga  0.000  0.000  0.000 [1 per cell]
C  0.500  0.500  0.500 [1 per cell]
I  0.000  0.500  0.000 [2 per cell]
N  0.000  0.000  0.500 [1 per cell]

Number 1: total moment 0.01 Bohr magnetons per cell, V 31.957 Å³/atom. Number 2: total moment 0.00 Bohr magnetons per cell, V 33.150 Å³/atom. Number 3: total moment 0.00 Bohr magnetons per cell, V 34.935 Å³/atom. Number 4: total moment 0.00 Bohr magnetons per cell, V 29.185 Å³/atom. Number 5: total moment 0.05 Bohr magnetons per cell, V 12.925 Å³/atom. Number 6: total moment 0.00 Bohr magnetons per cell, V 28.863 Å³/atom. Number 7: total moment 11.09 Bohr magnetons per cell, V 31.763 Å³/atom. Number 8: total moment 2.27 Bohr magnetons per cell, V 24.765 Å³/atom.